# InCuSe2

A relaxed InCuSe2 crystal (GGA-PBEsol, the Alexandria database).

Values from the calculation:
- Formation energy (no corrections): -1.25 eV/f.u.
- DOS at the Fermi energy: 0.96 states/eV/cell
- Symmetry: No. 156

Geometry as extended XYZ:
```
4
Lattice="-0.117 3.094 2.408 2.098 -3.167 0.977 5.237 2.540 -3.009" Properties=species:S:1:pos:R:3 pbc="T T T"
In 2.470 1.198 -1.419
Cu 5.322 3.287 -0.770
Se 1.945 1.649 1.170
Se 5.297 0.830 -0.809
```